1.
Entry from the Alexandria database: a relaxed structure of Na6Hg23Te (PBE-GGA).

Unit cell a=10.485 b=10.485 c=10.485 alpha=60.00 beta=60.00 gamma=60.00
Positions (direct):
Na 0.236 0.236 0.764
Na 0.236 0.764 0.236
Na 0.236 0.764 0.764
Na 0.764 0.236 0.236
Na 0.764 0.236 0.764
Na 0.764 0.764 0.236
Hg 0.000 0.000 0.500
Hg 0.000 0.500 0.000
Hg 0.000 0.500 0.500
Hg 0.118 0.627 0.627
Hg 0.137 0.137 0.137
Hg 0.137 0.137 0.588
Hg 0.137 0.588 0.137
Hg 0.373 0.373 0.373
Hg 0.373 0.373 0.882
Hg 0.373 0.882 0.373
Hg 0.412 0.863 0.863
Hg 0.500 0.000 0.000
Hg 0.500 0.000 0.500
Hg 0.500 0.500 0.000
Hg 0.500 0.500 0.500
Hg 0.588 0.137 0.137
Hg 0.627 0.118 0.627
Hg 0.627 0.627 0.118
Hg 0.627 0.627 0.627
Hg 0.863 0.412 0.863
Hg 0.863 0.863 0.412
Hg 0.863 0.863 0.863
Hg 0.882 0.373 0.373
Te 0.000 0.000 0.000

Computed properties:
- E_form (uncorrected): -5.0 eV per formula unit
- DOS(E_F): 7.41 states/eV per cell
- Calculated density: 9.94 g/cm³
- Crystal system: cubic
- Space group: No. 225

---

2.
Entry from the Alexandria database: a relaxed structure of NaHgTe (PBE-GGA).

Unit cell a=5.223 b=5.223 c=5.223 alpha=60.00 beta=60.00 gamma=60.00
Positions (direct):
Na 0.000 0.000 0.000
Hg 0.500 0.500 0.500
Te 0.750 0.750 0.750

Computed properties:
- E_form (uncorrected): -1.1 eV per formula unit
- DOS(E_F): 1.33 states/eV per cell
- Calculated density: 5.79 g/cm³
- Crystal system: cubic
- E above lowest polymorph: 0.00 eV per formula unit
- Space group: No. 216

---

3.
Entry from the Alexandria database: a relaxed structure of Na2Hg2Te3 (PBE-GGA).

Unit cell a=11.434 b=11.434 c=8.210 alpha=110.70 beta=110.70 gamma=84.11
Positions (direct):
Na 0.081 0.919 0.750
Na 0.227 0.773 0.250
Na 0.289 0.449 0.298
Na 0.449 0.289 0.798
Na 0.551 0.711 0.202
Na 0.711 0.551 0.702
Na 0.773 0.227 0.750
Na 0.919 0.081 0.250
Hg 0.062 0.598 0.749
Hg 0.132 0.293 0.803
Hg 0.293 0.132 0.303
Hg 0.402 0.938 0.751
Hg 0.598 0.062 0.249
Hg 0.707 0.868 0.697
Hg 0.868 0.707 0.197
Hg 0.938 0.402 0.251
Te 0.066 0.205 0.054
Te 0.100 0.644 0.444
Te 0.205 0.066 0.554
Te 0.289 0.512 0.954
Te 0.356 0.900 0.056
Te 0.488 0.711 0.546
Te 0.512 0.289 0.454
Te 0.644 0.100 0.944
Te 0.711 0.488 0.046
Te 0.795 0.934 0.446
Te 0.900 0.356 0.556
Te 0.934 0.795 0.946

Computed properties:
- E_form (uncorrected): -3.3 eV per formula unit
- Calculated density: 5.87 g/cm³
- Crystal system: monoclinic
- E above lowest polymorph: 0.00 eV per formula unit
- Space group: No. 15

---

4.
Entry from the Alexandria database: a relaxed structure of NaHgTe (PBE-GGA).

Unit cell a=4.776 b=4.776 c=4.532 alpha=90.00 beta=90.00 gamma=120.00
Positions (direct):
Na 0.000 0.000 0.000
Hg 0.333 0.667 0.657
Te 0.667 0.333 0.371

Computed properties:
- E_form (uncorrected): -1.0 eV per formula unit
- DOS(E_F): 1.71 states/eV per cell
- Calculated density: 6.51 g/cm³
- Crystal system: trigonal
- E above lowest polymorph: 0.12 eV per formula unit
- Space group: No. 156

---

Q: Among the records above, which one has the lowest E_form (uncorrected)?
A: Na6Hg23Te

---

Q: Which formula does entry 2 have?
A: NaHgTe